# Na3MnO3

Na3MnO3 after structural relaxation (PBE+U, Alexandria).

Unit cell a=4.343 b=9.733 c=9.735 alpha=90.00 beta=90.00 gamma=90.00
Each line ends with the local moment (μB).
Positions (direct):
Na: 0.500 0.161 0.839  0.00
Na: 0.000 0.339 0.339  0.00
Na: 0.000 0.661 0.661  0.00
Na: 0.500 0.839 0.161  0.00
Na: 0.000 0.118 0.636  0.00
Na: 0.500 0.136 0.382  0.00
Na: 0.000 0.364 0.882  0.00
Na: 0.500 0.382 0.136  0.00
Na: 0.500 0.618 0.864  0.00
Na: 0.000 0.636 0.118  0.00
Na: 0.500 0.864 0.618  0.00
Na: 0.000 0.882 0.364  0.00
Mn: 0.500 0.609 0.391  3.83
Mn: 0.000 0.891 0.891  3.83
Mn: 0.000 0.109 0.109  3.83
Mn: 0.500 0.391 0.609  3.83
O: 0.000 0.094 0.906  -0.04
O: 0.500 0.406 0.406  -0.04
O: 0.500 0.594 0.594  -0.04
O: 0.000 0.906 0.094  -0.04
O: 0.000 0.105 0.304  -0.01
O: 0.500 0.196 0.605  -0.01
O: 0.000 0.304 0.105  -0.01
O: 0.500 0.395 0.804  -0.01
O: 0.500 0.605 0.196  -0.01
O: 0.000 0.696 0.895  -0.01
O: 0.500 0.804 0.395  -0.01
O: 0.000 0.895 0.696  -0.01

Summary:
SG: P4_2/mnm (136)
Crystal system: tetragonal
E above lowest polymorph in eV/f.u.: 0.09